[1]
A geometry-optimized Ca4CoN4 structure, computed with PBE.

crystal system	triclinic
DOS at the Fermi energy	3.7	states/eV/f.u.
energy relative to the elements, uncorrected	-0.5615	eV per atom

Unit cell a=5.922 b=6.052 c=8.302 alpha=71.54 beta=81.36 gamma=70.57
Atoms (fractional coordinates):
Ca1 0.205 0.438 0.351
Ca2 0.225 0.957 0.126
Ca3 0.270 0.506 0.932
Ca4 0.287 0.809 0.531
Ca5 0.713 0.191 0.469
Ca6 0.730 0.494 0.068
Ca7 0.775 0.043 0.874
Ca8 0.795 0.562 0.649
Co1 0.269 0.152 0.747
Co2 0.731 0.848 0.253
N1 0.020 0.295 0.893
N2 0.046 0.171 0.601
N3 0.452 0.362 0.691
N4 0.488 0.840 0.810
N5 0.512 0.160 0.190
N6 0.548 0.638 0.309
N7 0.954 0.829 0.399
N8 0.980 0.705 0.107


[2]
A geometry-optimized Er5CoAg4 structure, computed with PBE.

formation energy from the elements	-0.300	eV/atom
crystal system	tetragonal
DOS at the Fermi energy	5.5	states/eV/f.u.

Unit cell a=3.512 b=3.512 c=18.122 alpha=90.00 beta=90.00 gamma=90.00
Atoms (fractional coordinates):
Er1 0.000 0.000 0.000
Er2 0.000 0.000 0.205
Er3 0.000 0.000 0.412
Er4 0.000 0.000 0.588
Er5 0.000 0.000 0.795
Co1 0.500 0.500 0.500
Ag1 0.500 0.500 0.102
Ag2 0.500 0.500 0.307
Ag3 0.500 0.500 0.693
Ag4 0.500 0.500 0.898


[3]
A geometry-optimized ScOsRu structure, computed with PBE.

formation energy from the elements	-0.159	eV/atom
crystal system	tetragonal
DOS at the Fermi energy	2.0	states/eV/f.u.
distance to the lowest polymorph of the same formula	0.179	eV/atom

Unit cell a=6.339 b=6.339 c=6.339 alpha=154.11 beta=154.11 gamma=36.94
Atoms (fractional coordinates):
Sc1 0.000 0.000 0.000
Os1 0.320 0.320 0.000
Ru1 0.682 0.682 0.000


[4]
A geometry-optimized ZnTe2Ir structure, computed with PBE.

crystal system	orthorhombic
DOS at the Fermi energy	2.3	states/eV/f.u.
energy relative to the elements, uncorrected	0.3515	eV per atom

Unit cell a=3.084 b=3.516 c=8.308 alpha=90.00 beta=90.00 gamma=90.00
Atoms (fractional coordinates):
Zn1 0.000 0.000 0.000
Te1 0.500 0.500 0.296
Te2 0.500 0.500 0.704
Ir1 0.000 0.000 0.500


[5]
A geometry-optimized CaAl6Ni3 structure, computed with PBE.

formation energy from the elements	-0.408	eV/atom
crystal system	monoclinic
DOS at the Fermi energy	4.8	states/eV/f.u.

Unit cell a=7.533 b=4.076 c=10.428 alpha=90.00 beta=99.42 gamma=90.00
Atoms (fractional coordinates):
Ca1 0.054 0.250 0.237
Ca2 0.946 0.750 0.763
Al1 0.101 0.250 0.570
Al2 0.251 0.750 0.023
Al3 0.334 0.250 0.863
Al4 0.342 0.750 0.690
Al5 0.387 0.750 0.273
Al6 0.396 0.250 0.462
Al7 0.604 0.750 0.538
Al8 0.613 0.250 0.727
Al9 0.658 0.250 0.310
Al10 0.666 0.750 0.137
Al11 0.749 0.250 0.977
Al12 0.899 0.750 0.430
Ni1 0.084 0.250 0.976
Ni2 0.231 0.750 0.464
Ni3 0.444 0.250 0.111
Ni4 0.556 0.750 0.889
Ni5 0.769 0.250 0.536
Ni6 0.916 0.750 0.024


[6]
A geometry-optimized ThCdSi2Pt2 structure, computed with PBE.

crystal system	trigonal
DOS at the Fermi energy	3.0	states/eV/f.u.
energy relative to the elements, uncorrected	-0.7553	eV per atom

Unit cell a=4.184 b=4.184 c=7.666 alpha=90.00 beta=90.00 gamma=120.00
Atoms (fractional coordinates):
Th1 0.000 0.000 0.000
Cd1 0.000 0.000 0.500
Si1 0.333 0.667 0.746
Si2 0.667 0.333 0.254
Pt1 0.333 0.667 0.290
Pt2 0.667 0.333 0.710


Copy entry 6 word for word.
A geometry-optimized ThCdSi2Pt2 structure, computed with PBE.

crystal system	trigonal
DOS at the Fermi energy	3.0	states/eV/f.u.
energy relative to the elements, uncorrected	-0.7553	eV per atom

Unit cell a=4.184 b=4.184 c=7.666 alpha=90.00 beta=90.00 gamma=120.00
Atoms (fractional coordinates):
Th1 0.000 0.000 0.000
Cd1 0.000 0.000 0.500
Si1 0.333 0.667 0.746
Si2 0.667 0.333 0.254
Pt1 0.333 0.667 0.290
Pt2 0.667 0.333 0.710


Q: What is the DOS at the Fermi energy in the sixth record?
A: 3.0 states/eV/f.u.